1.
Here is a relaxed structure of SrTaCd2 from the Alexandria database. Energies are from PBE-GGA.

Cell lengths 4.9695, 4.9695, 10.7477 Å; angles 76.63, 76.63, 90.00 degrees
Last column: nearest neighbours and their distance in Å.
Fractional coordinates of all 8 atoms:
Cd 0.3750 0.2691 0.7500  2 Cd 2.87, 2 Ta 2.92
Cd 0.7309 0.1250 0.2500  2 Cd 2.87, 2 Ta 2.92
Cd 0.8750 0.9809 0.7500  2 Cd 2.87, 2 Ta 2.92
Cd 0.0191 0.6250 0.2500  2 Cd 2.87, 2 Ta 2.92
Sr 0.2500 0.7500 0.5000  4 Cd 3.33, 4 Ta 3.51
Sr 0.5000 0.5000 0.0000  4 Cd 3.33, 4 Ta 3.51
Ta 0.7500 0.2500 0.5000  4 Cd 2.92
Ta 0.0000 0.0000 0.0000  4 Cd 2.92

Calculated values
Its calculated total energy is -2.98 eV/atom. The density of states at the Fermi level is 6.8 states/eV/cell. As for the space group: I-42d (122). The calculation puts the formation energy at 0.858 eV per atom.

***

2.
Here is a relaxed structure of SrTaCd2 from the Alexandria database. Energies are from PBE-GGA.

Cell lengths 3.1934, 3.1934, 9.4558 Å; angles 90.00, 90.00, 90.00 degrees
Last column: nearest neighbours and their distance in Å.
Fractional coordinates of all 4 atoms:
Cd 0.5000 0.5000 0.2212  8 Cd 3.13-3.19, 4 Sr 3.49
Cd 0.0000 0.0000 0.9919  4 Ta 3.00, 8 Cd 3.13-3.19
Ta 0.5000 0.5000 0.7837  4 Cd 3.00, 4 Ta 3.19
Sr 0.0000 0.0000 0.5032  4 Sr 3.19, 4 Ta 3.48, 4 Cd 3.49

Calculated values
Its calculated total energy is -3.45 eV/atom. The density of states at the Fermi level is 3.3 states/eV/cell. As for the space group: P4mm (99). The calculation puts the formation energy at 0.393 eV per atom.

***

3.
Here is a relaxed structure of Sr2TaCd from the Alexandria database. Energies are from PBE-GGA.

Cell lengths 5.0648, 3.3763, 7.7165 Å; angles 64.08, 90.00, 90.00 degrees
Last column: nearest neighbours and their distance in Å.
Fractional coordinates of all 4 atoms:
Sr 0.0000 0.9944 0.0053  4 Sr 3.38-3.54, 4 Ta 3.49, 4 Cd 3.52
Sr 0.0000 0.5056 0.4947  4 Sr 3.38-3.54, 4 Ta 3.49, 4 Cd 3.52
Cd 0.5000 0.7500 0.7500  2 Cd 3.38, 2 Ta 3.47, 8 Sr 3.52
Ta 0.5000 0.2500 0.2500  2 Ta 3.38, 2 Cd 3.47, 8 Sr 3.49

Calculated values
Its calculated total energy is -3.35 eV/atom. The density of states at the Fermi level is 4.3 states/eV/cell. As for the space group: Pmmm (47). The calculation puts the formation energy at 0.682 eV per atom.

***

4.
Here is a relaxed structure of Sr2TaCd from the Alexandria database. Energies are from PBE-GGA.

Cell lengths 5.8685, 5.8685, 6.3406 Å; angles 81.66, 81.66, 32.98 degrees
Last column: nearest neighbours and their distance in Å.
Fractional coordinates of all 4 atoms:
Sr 0.0007 0.0007 0.9932  6 Sr 3.33-3.66, 3 Ta 3.41-3.42, 3 Cd 3.45-3.46
Sr 0.4993 0.4993 0.5068  6 Sr 3.33-3.66, 3 Ta 3.41-3.42, 3 Cd 3.45-3.46
Cd 0.2500 0.2500 0.2500  2 Cd 3.33, 6 Sr 3.45-3.46, 4 Ta 3.58
Ta 0.7500 0.7500 0.7500  2 Ta 3.33, 6 Sr 3.41-3.42, 4 Cd 3.58

Calculated values
Its calculated total energy is -3.22 eV/atom. The density of states at the Fermi level is 4.5 states/eV/cell. As for the space group: C2/m (12). The calculation puts the formation energy at 0.811 eV per atom.

***

5.
Here is a relaxed structure of SrTaCd from the Alexandria database. Energies are from PBE-GGA.

Cell lengths 5.2905, 5.2905, 3.1238 Å; angles 90.00, 90.00, 120.00 degrees
Last column: nearest neighbours and their distance in Å.
Fractional coordinates of all 3 atoms:
Cd 0.0000 0.0000 0.8339  3 Ta 3.05, 2 Cd 3.12
Sr 0.6667 0.3333 0.3335  2 Sr 3.12, 6 Ta 3.43, 6 Cd 3.43
Ta 0.3333 0.6667 0.8326  3 Cd 3.05, 2 Ta 3.12

Calculated values
Its calculated total energy is -4.05 eV/atom. The density of states at the Fermi level is 3.1 states/eV/cell. As for the space group: P-6m2 (187). The calculation puts the formation energy at 0.771 eV per atom.

***

6.
Here is a relaxed structure of SrTaCd2 from the Alexandria database. Energies are from PBE-GGA.

Cell lengths 3.1623, 3.1623, 9.3789 Å; angles 90.00, 90.00, 89.99 degrees
Last column: nearest neighbours and their distance in Å.
Fractional coordinates of all 4 atoms:
Ta 0.5000 0.5000 0.7500  8 Cd 3.04, 4 Ta 3.16
Cd 0.0000 0.0000 0.5309  4 Ta 3.04, 4 Cd 3.16
Cd 0.0000 0.0000 0.9691  4 Ta 3.04, 4 Cd 3.16
Sr 0.5000 0.5000 0.2500  4 Sr 3.16, 8 Cd 3.46

Calculated values
Its calculated total energy is -3.56 eV/atom. The density of states at the Fermi level is 2.9 states/eV/cell. As for the space group: P4/mmm (123). The calculation puts the formation energy at 0.283 eV per atom.

***

7.
Here is a relaxed structure of Sr2TaCd from the Alexandria database. Energies are from PBE-GGA.

Cell lengths 11.6938, 11.6938, 11.6938 Å; angles 16.89, 16.89, 16.89 degrees
Last column: nearest neighbours and their distance in Å.
Fractional coordinates of all 4 atoms:
Sr 0.9952 0.9952 0.9952  3 Ta 3.36, 6 Sr 3.44, 3 Cd 3.64
Sr 0.5048 0.5048 0.5048  3 Ta 3.36, 6 Sr 3.44, 3 Cd 3.64
Cd 0.7500 0.7500 0.7500  6 Cd 3.44, 6 Sr 3.64
Ta 0.2500 0.2500 0.2500  6 Sr 3.36, 6 Ta 3.44

Calculated values
Its calculated total energy is -3.37 eV/atom. The density of states at the Fermi level is 2.7 states/eV/cell. As for the space group: R-3m (166). The calculation puts the formation energy at 0.662 eV per atom.

***

8.
Here is a relaxed structure of Sr2TaCd from the Alexandria database. Energies are from PBE-GGA.

Cell lengths 6.5613, 6.5613, 6.0141 Å; angles 71.66, 71.66, 30.04 degrees
Last column: nearest neighbours and their distance in Å.
Fractional coordinates of all 4 atoms:
Sr 0.9731 0.9731 0.0633  3 Sr 3.40-3.76, 3 Cd 3.51-3.53, 4 Ta 3.53-3.54
Sr 0.7766 0.7766 0.6866  3 Sr 3.40-3.76, 3 Ta 3.51-3.54, 4 Cd 3.53-3.54
Cd 0.2146 0.2146 0.2284  2 Ta 2.92
Ta 0.5356 0.5356 0.5217  2 Cd 2.92

Calculated values
Its calculated total energy is -3.47 eV/atom. The density of states at the Fermi level is 4.3 states/eV/cell. As for the space group: Cm (8). The calculation puts the formation energy at 0.565 eV per atom.